(1)
Density functional theory data (meta-GGA SCAN) for a PBEsol-optimized structure of Cs3YPb.

Lattice parameters (Å, degrees): 6.9003 6.9003 6.9003 90.00 90.00 90.00
Last column: nearest neighbours and their distance in Å.
Space group Pm-3m (No. 221)
Inequivalent atoms, fractional coordinates:
Cs 0.0000 0.0000 0.5000  2 Y 3.45
Y 0.0000 0.0000 0.0000  6 Cs 3.45
Pb 0.5000 0.5000 0.5000  12 Cs 4.88

## Properties
density of states at the Fermi level	3.43	states/eV/cell
calculated formation energy	920	meV/atom



(2)
Density functional theory data (meta-GGA SCAN) for a PBEsol-optimized structure of Ru3Se.

Lattice parameters (Å, degrees): 2.7956 2.7956 24.6798 90.00 90.00 120.00
Last column: nearest neighbours and their distance in Å.
Space group R-3m (No. 166, hexagonal axes)
Inequivalent atoms, fractional coordinates:
Ru 0.0000 0.0000 0.0000  12 Ru 2.66-2.80
Ru 0.0000 0.0000 0.2477  3 Se 2.57, 9 Ru 2.66-2.80
Se 0.0000 0.0000 0.5000  6 Ru 2.57, 6 Se 2.80

## Properties
density of states at the Fermi level	10.84	states/eV/cell
final energy	-30.81	eV/atom



(3)
Density functional theory data (meta-GGA SCAN) for a PBEsol-optimized structure of BaNiRu2.

Lattice parameters (Å, degrees): 4.2020 4.2020 16.9830 90.00 90.00 120.00
Last column: nearest neighbours and their distance in Å.
Space group R-3m (No. 166, hexagonal axes)
Inequivalent atoms, fractional coordinates:
Ba 0.0000 0.0000 0.0000  8 Ru 3.15-3.49
Ni 0.0000 0.0000 0.5000  6 Ru 2.45
Ru 0.0000 0.0000 0.1857  3 Ni 2.45, 3 Ru 2.51

## Properties
density of states at the Fermi level	9.44	states/eV/cell
offset from the most stable computed form	0.000	eV per atom
calculated formation energy	260	meV/atom



(4)
Density functional theory data (meta-GGA SCAN) for a PBEsol-optimized structure of TmAl3.

Lattice parameters (Å, degrees): 4.1818 4.1818 4.1818 90.00 90.00 90.00
Last column: nearest neighbours and their distance in Å.
Space group Pm-3m (No. 221)
Inequivalent atoms, fractional coordinates:
Tm 0.0000 0.0000 0.0000  12 Al 2.96
Al 0.0000 0.5000 0.5000  4 Tm 2.96, 8 Al 2.96

## Properties
density of states at the Fermi level	1.25	states/eV/cell
calculated formation energy	-440	meV/atom



(5)
Density functional theory data (meta-GGA SCAN) for a PBEsol-optimized structure of BaCaRe2.

Lattice parameters (Å, degrees): 3.4792 4.3760 10.6524 90.00 90.00 90.00
Last column: nearest neighbours and their distance in Å.
Space group Immm (No. 71)
Inequivalent atoms, fractional coordinates:
Ba 0.0000 0.0000 0.0000  4 Ca 2.80
Ca 0.0000 0.0000 0.5000  4 Ba 2.80
Re 0.0000 0.5000 0.2468  4 Re 2.80

## Properties
density of states at the Fermi level	5.70	states/eV/cell
calculated formation energy	1336	meV/atom



(6)
Density functional theory data (meta-GGA SCAN) for a PBEsol-optimized structure of BeCr2Ag.

Lattice parameters (Å, degrees): 3.0858 3.5808 8.4275 90.00 90.00 90.00
Last column: nearest neighbours and their distance in Å.
Space group Immm (No. 71)
Inequivalent atoms, fractional coordinates:
Be 0.0000 0.0000 0.0000  4 Ag 2.36, 4 Cr 2.57
Cr 0.0000 0.5000 0.2557  4 Cr 2.37, 2 Be 2.57
Ag 0.0000 0.0000 0.5000  4 Be 2.36

## Properties
density of states at the Fermi level	5.30	states/eV/cell
calculated formation energy	367	meV/atom



(7)
Density functional theory data (meta-GGA SCAN) for a PBEsol-optimized structure of Er3Ga8Rh3.

Lattice parameters (Å, degrees): 4.1111 9.6049 12.1328 90.00 90.00 90.00
Last column: nearest neighbours and their distance in Å.
Space group Immm (No. 71)
Inequivalent atoms, fractional coordinates:
Er 0.0000 0.0000 0.0000  12 Ga 3.10-3.17, 4 Rh 3.38
Er 0.0000 0.0000 0.3298  4 Rh 2.91-2.95, 8 Ga 2.98-3.09
Ga 0.0000 0.2828 0.1236  3 Rh 2.54-2.57, 3 Ga 2.59-2.64
Ga 0.0000 0.3704 0.3299  4 Ga 2.49-2.64, 1 Rh 2.52
Rh 0.0000 0.2200 0.5000  6 Ga 2.52-2.54
Rh 0.0000 0.5000 0.0000  4 Ga 2.57

## Properties
density of states at the Fermi level	13.71	states/eV/cell
calculated formation energy	-822	meV/atom



(8)
Density functional theory data (meta-GGA SCAN) for a PBEsol-optimized structure of ZrCdSe2.

Lattice parameters (Å, degrees): 3.8792 3.8792 5.6858 90.00 90.00 90.00
Last column: nearest neighbours and their distance in Å.
Space group P4mm (No. 99)
Inequivalent atoms, fractional coordinates:
Zr 0.0000 0.0000 0.0000  6 Se 2.74-2.85
Cd 0.5000 0.5000 0.4977  6 Se 2.74-2.85
Se 0.0000 0.0000 0.5004  4 Cd 2.74, 2 Zr 2.84-2.85
Se 0.5000 0.5000 0.9987  4 Zr 2.74, 2 Cd 2.84-2.85

## Properties
density of states at the Fermi level	2.18	states/eV/cell
final energy	-26.09	eV/atom



(9)
Density functional theory data (meta-GGA SCAN) for a PBEsol-optimized structure of Ru2PbSe.

Lattice parameters (Å, degrees): 5.9583 8.5843 3.1835 90.00 120.89 90.00
Last column: nearest neighbours and their distance in Å.
Space group C2/m (No. 12)
Inequivalent atoms, fractional coordinates:
Ru 0.2500 0.2500 0.0000  2 Se 2.63, 2 Pb 2.63
Pb 0.0000 0.0000 0.5000  4 Ru 2.63
Se 0.0000 0.5000 0.5000  4 Ru 2.63

## Properties
density of states at the Fermi level	10.69	states/eV/cell
offset from the most stable computed form	0.552	eV per atom



(10)
Density functional theory data (meta-GGA SCAN) for a PBEsol-optimized structure of InTc2W.

Lattice parameters (Å, degrees): 3.1172 3.1172 6.4969 90.00 90.00 90.00
Last column: nearest neighbours and their distance in Å.
Space group P4/mmm (No. 123)
Inequivalent atoms, fractional coordinates:
In 0.0000 0.0000 0.0000  8 Tc 2.82, 4 In 3.12
Tc 0.5000 0.5000 0.2712  4 W 2.66, 4 In 2.82, 1 Tc 2.97
W 0.0000 0.0000 0.5000  8 Tc 2.66

## Properties
density of states at the Fermi level	2.85	states/eV/cell
calculated formation energy	42	meV/atom



(11)
Density functional theory data (meta-GGA SCAN) for a PBEsol-optimized structure of Li3La.

Lattice parameters (Å, degrees): 3.2976 3.2976 31.8532 90.00 90.00 120.00
Last column: nearest neighbours and their distance in Å.
Space group R-3m (No. 166, hexagonal axes)
Inequivalent atoms, fractional coordinates:
Li 0.0000 0.0000 0.0000  12 Li 3.06-3.30
Li 0.0000 0.0000 0.2580  9 Li 3.06-3.30
La 0.0000 0.0000 0.5000  6 La 3.30, 6 Li 3.48

## Properties
density of states at the Fermi level	7.40	states/eV/cell
offset from the most stable computed form	0.014	eV per atom
calculated formation energy	77	meV/atom



(12)
Density functional theory data (meta-GGA SCAN) for a PBEsol-optimized structure of Na2Zn2In.

Lattice parameters (Å, degrees): 3.4169 3.4169 20.3500 90.00 90.00 90.00
Last column: nearest neighbours and their distance in Å.
Space group I4/mmm (No. 139)
Inequivalent atoms, fractional coordinates:
Na 0.0000 0.0000 0.1150  4 Zn 3.23, 4 In 3.36, 4 Na 3.42
Zn 0.0000 0.5000 0.2500  4 Zn 2.42
In 0.0000 0.0000 0.5000  8 Na 3.36, 4 In 3.42

## Properties
density of states at the Fermi level	4.23	states/eV/cell
offset from the most stable computed form	0.053	eV per atom
calculated formation energy	9	meV/atom



(13)
Density functional theory data (meta-GGA SCAN) for a PBEsol-optimized structure of CsLiAl3.

Lattice parameters (Å, degrees): 5.9091 5.9091 5.9091 90.00 90.00 90.00
Last column: nearest neighbours and their distance in Å.
Space group Pm-3m (No. 221)
Inequivalent atoms, fractional coordinates:
Cs 0.0000 0.0000 0.0000  6 Al 2.95
Li 0.5000 0.5000 0.5000  12 Al 4.18
Al 0.0000 0.0000 0.5000  2 Cs 2.95

## Properties
density of states at the Fermi level	5.43	states/eV/cell
calculated formation energy	1675	meV/atom



| no. | mass density (g/cm³) |
| --- | --- |
| 1 | 3.5 |
| 2 | 11.4 |
| 3 | 7.6 |
| 4 | 5.7 |
| 5 | 11.3 |
| 6 | 7.9 |
| 7 | 9.5 |
| 8 | 7.0 |
| 9 | 11.6 |
| 10 | 13.0 |
| 11 | 2.7 |
| 12 | 4.1 |
| 13 | 1.8 |